# Ho4TmHg7, relaxed, DFT GGA-PBE
# DOS(E_F): 0.5081 states/eV per atom
# E: -2.378 eV/atom
# Calculated volume: 26.7 Å³/atom
# ΔH_f (0 K): -351.2 kJ/mol of formula units
data_Ho4TmHg7
_chemical_formula_sum 'Ho8 Tm2 Hg14'
_cell_length_a 12.725
_cell_length_b 5.469
_cell_length_c 10.876
_cell_angle_alpha 90.00
_cell_angle_beta 122.01
_cell_angle_gamma 90.00
_symmetry_space_group_name_H-M 'C 1 2/m 1'
_symmetry_Int_Tables_number 12
_symmetry_space_group_name_Hall '-C 2y'
loop_
_atom_site_label
_atom_site_type_symbol
_atom_site_fract_x
_atom_site_fract_y
_atom_site_fract_z
Ho1 Ho 0.080 0.000 0.277
Ho2 Ho 0.234 0.000 0.820
Tm1 Tm 0.000 0.500 0.500
Hg1 Hg 0.000 0.000 0.500
Hg2 Hg 0.074 0.500 0.837
Hg3 Hg 0.140 0.000 0.039
Hg4 Hg 0.203 0.500 0.416